The following is a DFT calculation (PBE+U) of crystalline FeAsO4 at its relaxed geometry.

Cell and atoms, written as POSCAR:
```
FeAsO4
1.0
-3.1668 -2.3738 3.6840
1.6026 -1.5623 -4.9221
5.3743 0.4569 -0.3788
O Fe As
4 1 1
direct
0.5372 0.6610 0.6610 O
0.0000 0.8761 0.3390 O
0.4628 0.1239 0.1239 O
0.0000 0.3390 0.8761 O
0.0000 0.5000 0.5000 Fe
0.0000 0.0000 0.0000 As
```

Calculated density (Mg/m³): 3.76
Uncorrected energy (eV/atom): -6.21
Space group: I-42m, No. 121
Magnetic moment (μB per cell): 5.00